Here is a geometry-optimized Ba3ScSi structure from the Alexandria database. Energies are from PBE-GGA.

extended XYZ file:
```
5
Lattice="6.3752 0.0000 0.0000 0.0000 6.3752 0.0000 0.0000 0.0000 6.3752" Properties=species:S:1:pos:R:3 pbc="T T T"
Ba 0.0000 0.0000 3.1876
Ba 0.0000 3.1876 0.0000
Ba 3.1876 0.0000 0.0000
Sc 3.1876 3.1876 3.1876
Si 0.0000 0.0000 0.0000
```

Summary:
Calculated total energy in Ry/atom: -0.231
Total moment in μB/cell: 0.00